DFT (PBE) results for crystalline Mg6TiB at its relaxed geometry.

## Properties
As for the density of states at the Fermi level: 9.16 states/eV per cell. For the final energy, the calculation gives -2.632 eV per atom. The calculation puts the energy of formation from the pure elements at 0.39 eV per atom. For the size of the total moment, the calculation gives 0.00 μB/f.u.

Lattice parameters (Å, degrees): 4.7299 5.7145 11.1126 90.00 90.00 90.00
Space group Amm2 (No. 38)
Inequivalent atoms, fractional coordinates:
Mg 0.0000 0.0000 0.0000 [2 per cell]
Mg 0.0000 0.0000 0.4777 [2 per cell]
Mg 0.0000 0.2504 0.2516 [4 per cell]
Mg 0.5000 0.2492 0.1003 [4 per cell]
Ti 0.5000 0.0000 0.8492 [2 per cell]
B 0.5000 0.0000 0.3256 [2 per cell]

DFT (PBE) results for crystalline Ho5SnTe4 at its relaxed geometry.

## Properties
As for the density of states at the Fermi level: 10.77 states/eV per cell. For the final energy, the calculation gives -5.139 eV per atom. The value obtained for the uncorrected formation energy is -1.193 eV per atom. For the size of the total moment, the calculation gives 0.00 μB/f.u.

Lattice parameters (Å, degrees): 9.7519 9.7519 6.1346 90.00 90.00 90.00
Space group I4/m (No. 87)
Inequivalent atoms, fractional coordinates:
Ho 0.0000 0.0000 0.0000 [2 per cell]
Ho 0.0999 0.7097 0.5000 [8 per cell]
Sn 0.0000 0.0000 0.5000 [2 per cell]
Te 0.0964 0.6968 0.0000 [8 per cell]

DFT (PBE) results for crystalline CsHoScTe3 at its relaxed geometry.

## Properties
As for the density of states at the Fermi level: 5.76 states/eV per cell. For the final energy, the calculation gives -4.760 eV per atom. The value obtained for the uncorrected formation energy is -1.228 eV per atom. For the size of the total moment, the calculation gives 0.25 μB/f.u.

Lattice parameters (Å, degrees): 10.2374 4.6043 11.1476 90.00 111.50 90.00
Space group P2_1/m (No. 11)
Inequivalent atoms, fractional coordinates:
Cs 0.2160 0.2500 0.2409 [2 per cell]
Ho 0.3378 0.7500 0.8671 [2 per cell]
Sc 0.0852 0.2500 0.6087 [2 per cell]
Te 0.1278 0.2500 0.8705 [2 per cell]
Te 0.2132 0.7500 0.5525 [2 per cell]
Te 0.4725 0.7500 0.1579 [2 per cell]

DFT (PBE) results for crystalline LaTb9Ho2 at its relaxed geometry.

## Properties
As for the density of states at the Fermi level: 19.06 states/eV per cell. For the final energy, the calculation gives -4.622 eV per atom. The calculation puts the energy of formation from the pure elements at 0.02 eV per atom. For the size of the total moment, the calculation gives 0.00 μB/f.u.

Lattice parameters (Å, degrees): 5.0497 5.0497 15.1697 90.00 90.00 90.00
Space group P4/mmm (No. 123)
Inequivalent atoms, fractional coordinates:
La 0.0000 0.0000 0.0000 [1 per cell]
Tb 0.0000 0.5000 0.1706 [4 per cell]
Tb 0.0000 0.5000 0.5000 [2 per cell]
Tb 0.5000 0.5000 0.0000 [1 per cell]
Tb 0.5000 0.5000 0.3361 [2 per cell]
Ho 0.0000 0.0000 0.3348 [2 per cell]

DFT (PBE) results for crystalline K12Rb3Hg at its relaxed geometry.

## Properties
As for the density of states at the Fermi level: 11.81 states/eV per cell. For the final energy, the calculation gives -1.034 eV per atom. The calculation puts the energy of formation from the pure elements at -0.01 eV per atom. For the size of the total moment, the calculation gives 0.00 μB/f.u.

Lattice parameters (Å, degrees): 6.6188 6.6188 25.3548 90.00 90.00 90.00
Space group P4/mmm (No. 123)
Inequivalent atoms, fractional coordinates:
K 0.0000 0.0000 0.0000 [1 per cell]
K 0.0000 0.0000 0.2312 [2 per cell]
K 0.0000 0.0000 0.5000 [1 per cell]
K 0.0000 0.5000 0.0971 [4 per cell]
K 0.0000 0.5000 0.3657 [4 per cell]
Rb 0.5000 0.5000 0.2315 [2 per cell]
Rb 0.5000 0.5000 0.5000 [1 per cell]
Hg 0.5000 0.5000 0.0000 [1 per cell]

DFT (PBE) results for crystalline Pr14PuSc at its relaxed geometry.

## Properties
As for the density of states at the Fermi level: 62.97 states/eV per cell. For the final energy, the calculation gives -5.403 eV per atom. The calculation puts the energy of formation from the pure elements at 0.07 eV per atom. For the size of the total moment, the calculation gives 6.58 μB/f.u.

Lattice parameters (Å, degrees): 12.7442 7.4120 11.9110 90.00 90.06 90.00
Space group Cm (No. 8)
Inequivalent atoms, fractional coordinates:
Pr 0.0000 0.0000 0.0000 [2 per cell]
Pr 0.9999 0.0000 0.4902 [2 per cell]
Pr 0.1648 0.5000 0.7450 [2 per cell]
Pr 0.1684 0.0000 0.7448 [2 per cell]
Pr 0.2460 0.2523 0.0073 [4 per cell]
Pr 0.2459 0.2525 0.4825 [4 per cell]
Pr 0.4155 0.2528 0.7451 [4 per cell]
Pr 0.4212 0.2466 0.2452 [4 per cell]
Pr 0.4973 0.0000 0.4946 [2 per cell]
Pr 0.4974 0.0000 0.9958 [2 per cell]
Pu 0.1642 0.5000 0.2448 [2 per cell]
Sc 0.1681 0.0000 0.2449 [2 per cell]

DFT (PBE) results for crystalline Ta2AlGa at its relaxed geometry.

## Properties
As for the density of states at the Fermi level: 3.61 states/eV per cell. For the final energy, the calculation gives -7.259 eV per atom. The calculation puts the energy of formation from the pure elements at 0.36 eV per atom. For the size of the total moment, the calculation gives 0.00 μB/f.u.

Lattice parameters (Å, degrees): 3.6503 3.6503 18.9482 90.00 90.00 120.00
Space group R-3m (No. 166, hexagonal axes)
Inequivalent atoms, fractional coordinates:
Ta 0.0000 0.0000 0.2488 [6 per cell]
Al 0.0000 0.0000 0.0000 [3 per cell]
Ga 0.0000 0.0000 0.5000 [3 per cell]

DFT (PBE) results for crystalline Sm3ZnAu at its relaxed geometry.

## Properties
As for the density of states at the Fermi level: 19.19 states/eV per cell. For the final energy, the calculation gives -4.169 eV per atom. The calculation puts the energy of formation from the pure elements at -0.43 eV per atom. For the size of the total moment, the calculation gives 0.00 μB/f.u.

Lattice parameters (Å, degrees): 5.1916 19.7228 5.1919 90.00 90.00 90.00
Space group Cmcm (No. 63)
Inequivalent atoms, fractional coordinates:
Sm 0.0000 0.0644 0.2500 [4 per cell]
Sm 0.0000 0.2485 0.2500 [4 per cell]
Sm 0.0000 0.4314 0.2500 [4 per cell]
Zn 0.0000 0.1537 0.7500 [4 per cell]
Au 0.0000 0.3382 0.7500 [4 per cell]

DFT (PBE) results for crystalline In2OsSe at its relaxed geometry.

## Properties
As for the density of states at the Fermi level: 2.51 states/eV per cell. For the final energy, the calculation gives -4.804 eV per atom. The value obtained for the uncorrected formation energy is 0.244 eV per atom. For the size of the total moment, the calculation gives 0.00 μB/f.u.

Lattice parameters (Å, degrees): 4.2161 3.9452 9.9008 90.00 90.00 90.00
Space group Amm2 (No. 38)
Inequivalent atoms, fractional coordinates:
In 0.0000 0.0000 0.0000 [2 per cell]
In 0.5000 0.0000 0.2966 [2 per cell]
Os 0.5000 0.0000 0.5761 [2 per cell]
Se 0.0000 0.0000 0.7190 [2 per cell]

DFT (PBE) results for crystalline LuTiAgPd at its relaxed geometry.

## Properties
As for the density of states at the Fermi level: 20.04 states/eV per cell. For the final energy, the calculation gives -5.440 eV per atom. The calculation puts the energy of formation from the pure elements at -0.32 eV per atom. For the size of the total moment, the calculation gives 1.17 μB/f.u.

Lattice parameters (Å, degrees): 6.7378 6.7378 6.7378 90.00 90.00 90.00
Space group F-43m (No. 216)
Inequivalent atoms, fractional coordinates:
Lu 0.0000 0.0000 0.0000 [4 per cell]
Ti 0.0000 0.0000 0.5000 [4 per cell]
Ag 0.2500 0.2500 0.2500 [4 per cell]
Pd 0.2500 0.2500 0.7500 [4 per cell]

DFT (PBE) results for crystalline NaTaZnN2 at its relaxed geometry.

## Properties
As for the density of states at the Fermi level: 5.23 states/eV per cell. For the final energy, the calculation gives -4.082 eV per atom. The value obtained for the uncorrected formation energy is 2.138 eV per atom. For the size of the total moment, the calculation gives 0.00 μB/f.u.

Lattice parameters (Å, degrees): 4.0478 4.0478 4.8324 90.00 90.00 90.00
Space group P4/mmm (No. 123)
Inequivalent atoms, fractional coordinates:
Na 0.0000 0.0000 0.0000 [1 per cell]
Ta 0.5000 0.5000 0.0000 [1 per cell]
Zn 0.5000 0.5000 0.5000 [1 per cell]
N 0.0000 0.5000 0.5000 [2 per cell]

DFT (PBE) results for crystalline ZnGa4Co at its relaxed geometry.

## Properties
As for the density of states at the Fermi level: 7.03 states/eV per cell. For the final energy, the calculation gives -3.519 eV per atom. The calculation puts the energy of formation from the pure elements at -0.10 eV per atom. For the size of the total moment, the calculation gives 0.00 μB/f.u.

Lattice parameters (Å, degrees): 9.6448 9.8422 5.1603 90.00 122.25 90.00
Space group C2/c (No. 15)
Inequivalent atoms, fractional coordinates:
Zn 0.0000 0.0021 0.2500 [4 per cell]
Ga 0.1071 0.3109 0.6062 [8 per cell]
Ga 0.2355 0.4115 0.2344 [8 per cell]
Co 0.0000 0.5001 0.2500 [4 per cell]

> Which of these has the highest final energy?

K12Rb3Hg

> final energy of number 6 (Pr14PuSc)?

-5.403 eV per atom